Below is a relaxed structure of NiSb2Ir, with properties calculated at the PBE-GGA level.

Cell lengths 4.715, 4.715, 4.715 Å; angles 60.00, 60.00, 60.00 degrees
Positions (direct):
Ni  0.000  0.000  0.000
Sb  0.250  0.250  0.250
Sb  0.500  0.500  0.500
Ir  0.750  0.750  0.750

As for the space-group type: F-43m, No. 216. The density of states at the Fermi level is 5.53 states/eV/f.u. The calculation puts the total moment at 0.000 μB/f.u. The value obtained for the formation energy from raw total energies is 0.569 eV/atom.


Below is a relaxed structure of NiSb2Ir, with properties calculated at the PBE-GGA level.

Cell lengths 3.683, 3.841, 5.441 Å; angles 90.00, 109.50, 90.00 degrees
Positions (direct):
Ni  0.000  0.000  0.000
Sb  0.246  0.000  0.502
Sb  0.537  0.500  0.079
Ir  0.814  0.500  0.639

As for the space-group type: Pm, No. 6. The density of states at the Fermi level is 1.77 states/eV/f.u. The calculation puts the total moment at 0.000 μB/f.u. The value obtained for the formation energy from raw total energies is -0.088 eV/atom.


no.,V (Å³ per cell)
1,74.1
2,72.6